15
Lattice="-4.5858 -2.1005 -2.6363 0.7464 -0.9082 5.5687 -3.4916 5.8401 1.4205" Properties=species:S:1:pos:R:3 comment="PBE+U Ba3Fe2CoO9, optimized geometry" dft_energy_ev_per_fu=-92.67 density_g_cm3=6.19 sg=P-3m1 dos_ef_per_ev_cell=8.11 vol_a3_per_cell=195.0 pbc="T T T"
O -1.3081 0.8645 4.6975
O -1.6861 1.3244 1.8777
O -3.7008 3.0305 0.9903
O -1.9197 -1.5044 1.4662
O -3.6302 -0.1991 3.3625
O -6.0229 1.9668 -0.3446
O -5.6449 1.5070 2.4751
O 0.3732 -0.4541 2.7843
O -2.2929 -1.0503 -1.3181
Ba -3.3548 2.5812 3.7790
Ba 0.0000 0.0000 0.0000
Ba -3.9762 0.2502 0.5738
Fe -1.6116 -0.3345 3.0699
Fe -5.7195 3.1659 1.2830
Co -1.7458 2.9200 0.7102

---

14
Lattice="4.6545 0.0000 -0.3749 0.0000 5.6566 0.0000 -2.3472 0.0000 7.6878" Properties=species:S:1:pos:R:3 comment="PBE+U BaFeCoO4, optimized geometry" dft_energy_ev_per_fu=-42.70 density_g_cm3=5.32 sg=P2_1/m vol_a3_per_cell=197.4 pbc="T T T"
Co 3.1429 4.2424 3.5704
Co -0.8356 1.4141 3.7424
O 3.5402 2.8993 2.1877
O 1.0139 1.4141 3.4599
O -1.2329 0.0710 5.1251
O -1.2329 2.7573 5.1251
O 3.5402 5.5856 2.1877
O 0.9709 4.2424 0.5532
O 1.3363 1.4141 6.7597
O 1.2934 4.2424 3.8530
Fe 1.9815 1.4141 5.0401
Fe 0.3258 4.2424 2.2727
Ba 1.4908 1.4141 0.7974
Ba 0.8165 4.2424 6.5154

---

40
Lattice="7.8487 -0.0036 -0.0036 -0.0018 7.8487 -0.0036 -0.0018 -0.0018 7.8487" Properties=species:S:1:pos:R:3 comment="PBE+U BaSr7Fe7CoO24, optimized geometry" dft_energy_ev_per_fu=-251.92 density_g_cm3=5.44 sg=R3m dos_ef_per_ev_cell=19.40 vol_a3_per_cell=483.5 pbc="T T T"
Fe 3.9160 3.9151 0.0057
Fe 0.0079 3.9164 0.0070
Fe 0.0081 0.0081 0.0081
Fe 0.0075 3.9160 3.9151
Fe 3.9160 0.0066 3.9151
Fe 0.0079 0.0079 3.9164
Fe 3.9164 0.0070 0.0070
O 0.0299 0.0299 5.8898
O 1.9698 3.9151 0.0094
O 0.0299 5.8775 3.8889
O 3.8902 5.8767 0.0278
O 3.8826 3.8817 5.8339
O 0.0097 1.9592 0.0093
O 3.9176 3.9167 2.0091
O 5.8898 0.0286 0.0286
O 3.9155 1.9689 0.0094
O 0.0299 5.8898 0.0286
O 0.0097 0.0097 1.9592
O 0.0108 3.9155 1.9689
O 3.8902 0.0291 5.8767
O 5.8776 3.8889 0.0278
O 1.9592 0.0093 0.0093
O 3.9176 2.0100 3.9163
O 3.8826 5.8348 3.8804
O 1.9698 0.0103 3.9151
O 0.0299 3.8902 5.8767
O 0.0108 1.9698 3.9151
O 5.8357 3.8813 3.8804
O 5.8776 0.0286 3.8889
O 3.9155 0.0099 1.9689
O 2.0109 3.9171 3.9163
Sr 1.9662 1.9657 5.8804
Sr 1.9662 5.8809 1.9644
Sr 5.8775 5.8762 1.9623
Sr 1.9649 5.8771 5.8758
Sr 5.8813 1.9649 1.9644
Sr 1.9667 1.9662 1.9658
Sr 5.8775 1.9636 5.8758
Ba 5.8762 5.8749 5.8736
Co 3.9125 3.9116 3.9107

---

What did the second record say?
14
Lattice="4.6545 0.0000 -0.3749 0.0000 5.6566 0.0000 -2.3472 0.0000 7.6878" Properties=species:S:1:pos:R:3 comment="PBE+U BaFeCoO4, optimized geometry" dft_energy_ev_per_fu=-42.70 density_g_cm3=5.32 sg=P2_1/m vol_a3_per_cell=197.4 pbc="T T T"
Co 3.1429 4.2424 3.5704
Co -0.8356 1.4141 3.7424
O 3.5402 2.8993 2.1877
O 1.0139 1.4141 3.4599
O -1.2329 0.0710 5.1251
O -1.2329 2.7573 5.1251
O 3.5402 5.5856 2.1877
O 0.9709 4.2424 0.5532
O 1.3363 1.4141 6.7597
O 1.2934 4.2424 3.8530
Fe 1.9815 1.4141 5.0401
Fe 0.3258 4.2424 2.2727
Ba 1.4908 1.4141 0.7974
Ba 0.8165 4.2424 6.5154